(1)
# Al2VGe2

Al2VGe2 after structural relaxation (GGA-PBE, the Alexandria database).

Cell lengths 6.648, 6.648, 3.671 Å; angles 90.00, 90.00, 90.00 degrees
Space group P4/mbm (No. 127)
Symmetry-distinct sites (fractional):
Al1 0.159 0.341 0.000 (multiplicity 4)
V1 0.000 0.000 0.500 (multiplicity 2)
Ge1 0.148 0.648 0.500 (multiplicity 4)

Properties
As for the formation energy: 0.0707 eV per atom. As for the total energy: -51.0 eV/cell.

(2)
# Al2VGe

Al2VGe after structural relaxation (GGA-PBE, the Alexandria database).

Cell lengths 7.379, 7.379, 5.162 Å; angles 90.00, 90.00, 90.00 degrees
Space group I-42d (No. 122)
Symmetry-distinct sites (fractional):
Al1 0.226 0.250 0.125 (multiplicity 8)
V1 0.000 0.000 0.500 (multiplicity 4)
Ge1 0.000 0.000 0.000 (multiplicity 4)

Properties
As for the formation energy: 0.3466 eV per atom. As for the total energy: -79.3 eV/cell.

(3)
# Al2VGe

Al2VGe after structural relaxation (GGA-PBE, the Alexandria database).

Cell lengths 9.987, 9.453, 2.760 Å; angles 90.00, 105.56, 90.00 degrees
Space group C2/m (No. 12)
Symmetry-distinct sites (fractional):
Al1 0.000 0.135 0.000 (multiplicity 4)
Al2 0.000 0.365 0.500 (multiplicity 4)
V1 0.250 0.250 0.000 (multiplicity 4)
Ge1 0.250 0.000 0.471 (multiplicity 4)

Properties
As for the formation energy: 0.0317 eV per atom. As for the total energy: -84.4 eV/cell.

(4)
# AlVGe

AlVGe after structural relaxation (GGA-PBE, the Alexandria database).

Cell lengths 4.4406, 4.4406, 2.6124 Å; angles 90.00, 90.00, 120.00 degrees
Space group P3m1 (No. 156)
Symmetry-distinct sites (fractional):
Al1 0.0000 0.0000 0.0000 (multiplicity 1)
V1 0.6667 0.3333 0.5013 (multiplicity 1)
Ge1 0.3333 0.6667 0.0132 (multiplicity 1)

Properties
As for the formation energy: 0.0376 eV per atom. As for the total energy: -17.4 eV/cell.

(5)
# Al5V12Ge2

Al5V12Ge2 after structural relaxation (GGA-PBE, the Alexandria database).

Cell lengths 10.896, 8.031, 6.321 Å; angles 90.00, 94.63, 90.00 degrees
Space group C2/m (No. 12)
Symmetry-distinct sites (fractional):
Al1 0.000 0.000 0.000 (multiplicity 2)
Al2 0.166 0.500 0.606 (multiplicity 4)
Al3 0.237 0.000 0.988 (multiplicity 4)
V1 0.058 0.500 0.213 (multiplicity 4)
V2 0.098 0.276 0.893 (multiplicity 8)
V3 0.140 0.000 0.602 (multiplicity 4)
V4 0.191 0.251 0.288 (multiplicity 8)
Ge1 0.000 0.256 0.500 (multiplicity 4)

Properties
As for the formation energy: -0.0732 eV per atom. As for the total energy: -277.5 eV/cell.

(6)
# AlV5Ge2

AlV5Ge2 after structural relaxation (GGA-PBE, the Alexandria database).

Cell lengths 5.705, 5.705, 6.819 Å; angles 90.00, 90.00, 90.00 degrees
Space group I4mm (No. 107)
Symmetry-distinct sites (fractional):
Al1 0.000 0.000 0.000 (multiplicity 2)
V1 0.000 0.000 0.424 (multiplicity 2)
V2 0.228 0.228 0.710 (multiplicity 8)
Ge1 0.000 0.500 0.458 (multiplicity 4)

Properties
As for the formation energy: -0.1752 eV per atom. As for the total energy: -119.9 eV/cell.